DFT (GGA-PBE) results for a relaxed structure of Al2TlSb.

uncorrected formation energy = 223.1 meV/atom
N(E_F) = 1.3 states/eV/cell
excess energy over the best structure of this formula in the dataset = 0.302 eV per formula unit
space group = No. 123
total moment = 0.000 μB per atom

Structure (POSCAR):
```
Al2TlSb
1.0
3.642 0.000 0.000
0.000 3.642 0.000
0.000 0.000 7.387
Tl Al Sb
1 2 1
Direct
0.500 0.500 0.750
0.000 0.000 0.041
0.000 0.000 0.459
0.500 0.500 0.250
```